*one*
A plane-wave DFT calculation with GGA-PBE was carried out for a relaxed MnCd2I crystal.

- spin magnetization (μB/atom) = 1.11

Structure (POSCAR):
```
MnCd2I
1.0
8.736 0.000 0.000
0.000 8.736 0.000
4.368 4.368 2.927
Cd I Mn
4 2 2
direct
0.375 0.420 0.750 Cd
0.170 0.625 0.250 Cd
0.875 0.830 0.750 Cd
0.580 0.125 0.250 Cd
0.000 0.000 0.000 I
0.750 0.250 0.500 I
0.250 0.750 0.500 Mn
0.500 0.500 0.000 Mn
```

***

*two*
A plane-wave DFT calculation with GGA-PBE was carried out for a relaxed MnCd2I crystal.

- spin magnetization (μB/atom) = 1.18

Structure (POSCAR):
```
MnCd2I
1.0
0.000 3.708 3.708
3.708 0.000 3.708
3.708 3.708 0.000
Cd I Mn
2 1 1
direct
0.250 0.250 0.250 Cd
0.750 0.750 0.750 Cd
0.500 0.500 0.500 I
0.000 0.000 0.000 Mn
```

***

*two* is the least stable structure shown above.